1.
# Sm3Dy2Tl6 | Alexandria via LeMat-Bulk | GGA-PBE | optimized geometry
data_Sm3Dy2Tl6
_symmetry_space_group_name_H-M 'P 1'
_symmetry_Int_Tables_number 1
_symmetry_space_group_name_Hall 'P 1'
_cell_length_a 15.073
_cell_length_b 15.073
_cell_length_c 15.073
_cell_angle_alpha 161.67
_cell_angle_beta 161.67
_cell_angle_gamma 26.04
loop_
_atom_site_label
_atom_site_type_symbol
_atom_site_fract_x
_atom_site_fract_y
_atom_site_fract_z
Sm1 Sm 0.000 0.000 0.000
Sm2 Sm 0.199 0.199 0.000
Sm3 Sm 0.801 0.801 0.000
Dy1 Dy 0.446 0.446 0.000
Dy2 Dy 0.554 0.554 0.000
Tl1 Tl 0.118 0.618 0.500
Tl2 Tl 0.305 0.305 0.000
Tl3 Tl 0.382 0.882 0.500
Tl4 Tl 0.618 0.118 0.500
Tl5 Tl 0.695 0.695 0.000
Tl6 Tl 0.882 0.382 0.500
# Uncorrected energy in eV per atom: -3.50
# SG: I4/mmm
# Crystal system: tetragonal

2.
# ZnSbRh | Alexandria via LeMat-Bulk | GGA-PBE | optimized geometry
data_ZnSbRh
_symmetry_space_group_name_H-M 'P 1'
_symmetry_Int_Tables_number 1
_symmetry_space_group_name_Hall 'P 1'
_cell_length_a 4.853
_cell_length_b 4.853
_cell_length_c 4.853
_cell_angle_alpha 137.54
_cell_angle_beta 137.54
_cell_angle_gamma 61.60
loop_
_atom_site_label
_atom_site_type_symbol
_atom_site_fract_x
_atom_site_fract_y
_atom_site_fract_z
Zn1 Zn 0.000 0.000 0.000
Sb1 Sb 0.320 0.320 0.000
Rh1 Rh 0.665 0.665 0.000
# ΔE_f (raw) in eV/atom: -0.209
# SG: I4mm
# Crystal system: tetragonal

3.
# Zn2Cu2Si | Alexandria via LeMat-Bulk | GGA-PBE | optimized geometry
data_Zn2Cu2Si
_symmetry_space_group_name_H-M 'P 1'
_symmetry_Int_Tables_number 1
_symmetry_space_group_name_Hall 'P 1'
_cell_length_a 7.273
_cell_length_b 7.273
_cell_length_c 2.680
_cell_angle_alpha 90.00
_cell_angle_beta 90.00
_cell_angle_gamma 90.00
loop_
_atom_site_label
_atom_site_type_symbol
_atom_site_fract_x
_atom_site_fract_y
_atom_site_fract_z
Zn1 Zn 0.127 0.373 0.000
Zn2 Zn 0.373 0.873 0.000
Zn3 Zn 0.627 0.127 0.000
Zn4 Zn 0.873 0.627 0.000
Cu1 Cu 0.172 0.672 0.500
Cu2 Cu 0.328 0.172 0.500
Cu3 Cu 0.672 0.828 0.500
Cu4 Cu 0.828 0.328 0.500
Si1 Si 0.000 0.000 0.000
Si2 Si 0.500 0.500 0.000
# ΔE_f (raw) in eV/atom: 0.163
# Energy above the most stable polymorph in this dataset in meV per atom: 54
# SG: P4/mbm
# Crystal system: tetragonal

4.
# K2Hf2BiSb2 | Alexandria via LeMat-Bulk | GGA-PBE | optimized geometry
data_K2Hf2BiSb2
_symmetry_space_group_name_H-M 'P 1'
_symmetry_Int_Tables_number 1
_symmetry_space_group_name_Hall 'P 1'
_cell_length_a 9.641
_cell_length_b 9.641
_cell_length_c 9.641
_cell_angle_alpha 147.39
_cell_angle_beta 147.39
_cell_angle_gamma 46.78
loop_
_atom_site_label
_atom_site_type_symbol
_atom_site_fract_x
_atom_site_fract_y
_atom_site_fract_z
K1 K 0.192 0.192 0.000
K2 K 0.808 0.808 0.000
Hf1 Hf 0.000 0.500 0.500
Hf2 Hf 0.500 0.000 0.500
Bi1 Bi 0.000 0.000 0.000
Sb1 Sb 0.398 0.398 0.000
Sb2 Sb 0.602 0.602 0.000
# ΔE_f (raw) in eV/atom: -0.027
# SG: I4/mmm
# Crystal system: tetragonal

5.
# Pr3ErGe2 | Alexandria via LeMat-Bulk | GGA-PBE | optimized geometry
data_Pr3ErGe2
_symmetry_space_group_name_H-M 'P 1'
_symmetry_Int_Tables_number 1
_symmetry_space_group_name_Hall 'P 1'
_cell_length_a 8.889
_cell_length_b 8.889
_cell_length_c 8.889
_cell_angle_alpha 150.92
_cell_angle_beta 149.96
_cell_angle_gamma 42.30
loop_
_atom_site_label
_atom_site_type_symbol
_atom_site_fract_x
_atom_site_fract_y
_atom_site_fract_z
Pr1 Pr 0.000 0.000 0.000
Pr2 Pr 0.181 0.681 0.500
Pr3 Pr 0.819 0.319 0.500
Er1 Er 0.500 0.500 0.000
Ge1 Ge 0.368 0.868 0.500
Ge2 Ge 0.632 0.132 0.500
# Uncorrected energy in eV per atom: -5.29
# SG: Immm
# Crystal system: orthorhombic

6.
# Pa3BeCo6B2 | Alexandria via LeMat-Bulk | GGA-PBE | optimized geometry
data_Pa3BeCo6B2
_symmetry_space_group_name_H-M 'P 1'
_symmetry_Int_Tables_number 1
_symmetry_space_group_name_Hall 'P 1'
_cell_length_a 5.214
_cell_length_b 5.214
_cell_length_c 7.123
_cell_angle_alpha 90.00
_cell_angle_beta 90.00
_cell_angle_gamma 120.00
loop_
_atom_site_label
_atom_site_type_symbol
_atom_site_fract_x
_atom_site_fract_y
_atom_site_fract_z
Pa1 Pa 0.000 0.000 0.000
Pa2 Pa 0.333 0.667 0.708
Pa3 Pa 0.667 0.333 0.292
Be1 Be 0.000 0.000 0.500
Co1 Co 0.174 0.347 0.310
Co2 Co 0.174 0.826 0.310
Co3 Co 0.347 0.174 0.690
Co4 Co 0.653 0.826 0.310
Co5 Co 0.826 0.174 0.690
Co6 Co 0.826 0.653 0.690
B1 B 0.333 0.667 0.106
B2 B 0.667 0.333 0.894
# Uncorrected energy in eV per atom: -7.57
# SG: P-3m1
# Crystal system: trigonal

For reference, DOS at the Fermi energy by record: 0.84; 0.59; 0.39; 0.72; 1.03; 0.54 states/eV per atom.